# 1
# ReTcGe2 (PBE, relaxed)
# Total DFT energy (no corrections) ... -115.6 eV/cell
# Excess energy over the best structure of this formula in the dataset ... 2.68 eV/f.u.
data_ReTcGe2
_space_group_name_H-M_alt 'I -4 2 d'
_space_group_IT_number 122
_space_group_name_Hall 'I -4 2bw'
_cell_length_a 7.024
_cell_length_b 7.024
_cell_length_c 5.346
_cell_angle_alpha 90.00
_cell_angle_beta 90.00
_cell_angle_gamma 90.00
loop_
_atom_site_label
_atom_site_type_symbol
_atom_site_fract_x
_atom_site_fract_y
_atom_site_fract_z
_atom_site_occupancy
Re1 Re 0.000 0.000 0.000 1
Tc1 Tc 0.000 0.000 0.500 1
Ge1 Ge 0.247 0.750 0.125 1

# 2
# ReTc2Ge (PBE, relaxed)
# Total DFT energy (no corrections) ... -37.9 eV/cell
data_ReTc2Ge
_space_group_name_H-M_alt 'P 4/m m m'
_space_group_IT_number 123
_space_group_name_Hall '-P 4 2'
_cell_length_a 2.974
_cell_length_b 2.974
_cell_length_c 6.565
_cell_angle_alpha 90.00
_cell_angle_beta 90.00
_cell_angle_gamma 90.00
loop_
_atom_site_label
_atom_site_type_symbol
_atom_site_fract_x
_atom_site_fract_y
_atom_site_fract_z
_atom_site_occupancy
Re1 Re 0.000 0.000 0.000 1
Tc1 Tc 0.500 0.500 0.261 1
Ge1 Ge 0.000 0.000 0.500 1

# 3
# ReTc2Ge (PBE, relaxed)
# Total DFT energy (no corrections) ... -110.5 eV/cell
data_ReTc2Ge
_space_group_name_H-M_alt 'R 3 m'
_space_group_IT_number 160
_space_group_name_Hall 'R 3 -2"'
_cell_length_a 4.1330
_cell_length_b 4.1330
_cell_length_c 13.2783
_cell_angle_alpha 90.00
_cell_angle_beta 90.00
_cell_angle_gamma 120.00
loop_
_atom_site_label
_atom_site_type_symbol
_atom_site_fract_x
_atom_site_fract_y
_atom_site_fract_z
_atom_site_occupancy
Re1 Re 0.0000 0.0000 0.0000 1
Tc1 Tc 0.0000 0.0000 0.2157 1
Tc2 Tc 0.0000 0.0000 0.4011 1
Ge1 Ge 0.0000 0.0000 0.8059 1

# 4
# ReTc2Ge6 (PBE, relaxed)
# Total DFT energy (no corrections) ... -118.0 eV/cell
data_ReTc2Ge6
_space_group_name_H-M_alt 'C 1 2/m 1'
_space_group_IT_number 12
_cell_length_a 14.606
_cell_length_b 6.623
_cell_length_c 3.177
_cell_angle_alpha 90.00
_cell_angle_beta 102.26
_cell_angle_gamma 90.00
loop_
_space_group_symop_operation_xyz
'x,y,z'
'-x,-y,-z'
'-x,y,-z'
'x,-y,z'
'x+1/2,y+1/2,z'
'-x+1/2,-y+1/2,-z'
'-x+1/2,y+1/2,-z'
'x+1/2,-y+1/2,z'
loop_
_atom_site_label
_atom_site_type_symbol
_atom_site_fract_x
_atom_site_fract_y
_atom_site_fract_z
_atom_site_occupancy
Re1 Re 0.000 0.000 0.000 1
Tc1 Tc 0.168 0.500 0.667 1
Ge1 Ge 0.000 0.303 0.500 1
Ge2 Ge 0.166 0.198 0.164 1

# 5
# ReTc2Ge (PBE, relaxed)
# Total DFT energy (no corrections) ... -37.3 eV/cell
data_ReTc2Ge
_space_group_name_H-M_alt 'P 4/m m m'
_space_group_IT_number 123
_space_group_name_Hall '-P 4 2'
_cell_length_a 4.406
_cell_length_b 4.406
_cell_length_c 3.028
_cell_angle_alpha 90.00
_cell_angle_beta 90.00
_cell_angle_gamma 90.00
loop_
_atom_site_label
_atom_site_type_symbol
_atom_site_fract_x
_atom_site_fract_y
_atom_site_fract_z
_atom_site_occupancy
Re1 Re 0.000 0.000 0.000 1
Tc1 Tc 0.000 0.500 0.500 1
Ge1 Ge 0.500 0.500 0.000 1

# 6
# Re2TcGe6 (PBE, relaxed)
# Total DFT energy (no corrections) ... -120.9 eV/cell
data_Re2TcGe6
_space_group_name_H-M_alt 'C 1 2/m 1'
_space_group_IT_number 12
_cell_length_a 14.706
_cell_length_b 6.676
_cell_length_c 3.108
_cell_angle_alpha 90.00
_cell_angle_beta 101.95
_cell_angle_gamma 90.00
loop_
_space_group_symop_operation_xyz
'x,y,z'
'-x,-y,-z'
'-x,y,-z'
'x,-y,z'
'x+1/2,y+1/2,z'
'-x+1/2,-y+1/2,-z'
'-x+1/2,y+1/2,-z'
'x+1/2,-y+1/2,z'
loop_
_atom_site_label
_atom_site_type_symbol
_atom_site_fract_x
_atom_site_fract_y
_atom_site_fract_z
_atom_site_occupancy
Re1 Re 0.166 0.000 0.165 1
Tc1 Tc 0.000 0.500 0.500 1
Ge1 Ge 0.000 0.197 0.000 1
Ge2 Ge 0.167 0.305 0.666 1

# 7
# ReTc2Ge (PBE, relaxed)
# Total DFT energy (no corrections) ... -133.5 eV/cell
data_ReTc2Ge
_space_group_name_H-M_alt 'I -4 2 d'
_space_group_IT_number 122
_space_group_name_Hall 'I -4 2bw'
_cell_length_a 5.926
_cell_length_b 5.926
_cell_length_c 9.727
_cell_angle_alpha 90.00
_cell_angle_beta 90.00
_cell_angle_gamma 90.00
loop_
_atom_site_label
_atom_site_type_symbol
_atom_site_fract_x
_atom_site_fract_y
_atom_site_fract_z
_atom_site_occupancy
Re1 Re 0.000 0.000 0.000 1
Tc1 Tc 0.244 0.250 0.125 1
Ge1 Ge 0.000 0.000 0.500 1

# 8
# ReTcGe2 (PBE, relaxed)
# Total DFT energy (no corrections) ... -31.6 eV/cell
# Excess energy over the best structure of this formula in the dataset ... 0.00 eV/f.u.
data_ReTcGe2
_space_group_name_H-M_alt 'P 4/m m m'
_space_group_IT_number 123
_space_group_name_Hall '-P 4 2'
_cell_length_a 4.350
_cell_length_b 4.350
_cell_length_c 3.070
_cell_angle_alpha 90.00
_cell_angle_beta 90.00
_cell_angle_gamma 90.00
loop_
_atom_site_label
_atom_site_type_symbol
_atom_site_fract_x
_atom_site_fract_y
_atom_site_fract_z
_atom_site_occupancy
Re1 Re 0.000 0.000 0.000 1
Tc1 Tc 0.500 0.500 0.000 1
Ge1 Ge 0.000 0.500 0.500 1

Energy of formation readings, ordered: 0.788, -0.023, 0.244, 0.211, 0.124, 0.280, 1.103, 0.117 eV per atom